BaAcHg2, relaxed, DFT PBE; total magnetic moment = 0.00 μB/f.u.; calculated formation energy = -0.357 eV/atom
1.0
4.4184 0.0000 0.0000
2.2092 3.8264 0.0000
2.2092 1.2755 9.3478
Ba Ac Hg
1 1 2
direct
0.5003 0.5003 0.4990
0.6662 0.6662 0.0015
0.0794 0.0794 0.7619
0.2541 0.2541 0.2376